Entry from Alexandria via LeMat-Bulk: a crystal of Zn3Ag2 relaxed with PBEsol (SCAN).

Cell lengths 2.9941, 4.9161, 5.5237 Å; angles 81.18, 74.27, 72.27 degrees
Sites, in units of the cell vectors:
Zn  0.1019  0.1861  0.6101
Zn  0.5000  0.0000  0.0000
Zn  0.8981  0.8139  0.3899
Ag  0.3063  0.6032  0.7842
Ag  0.6937  0.3968  0.2158

Summary:
energy above the lowest structure with this stoichiometry	0.13	kcal/mol of atoms
formation enthalpy at 0 K	-0.01	eV per atom
SG	C2/m (12)
crystal system	monoclinic